Entry P
This record from the Alexandria database describes a crystal of SrAlHg relaxed with PBEsol. The functional is meta-GGA SCAN.

```
SrAlHg
1.0
-4.745 -0.909 1.031
-1.392 -4.511 1.455
-1.411 -0.763 4.673
Sr Hg Al
1 1 1
Direct
0.500 0.500 0.500
0.000 0.000 0.000
0.250 0.250 0.250
```

Calculated values
V	28.42	Å³ per atom
SG	No. 216
crystal system	cubic
DOS(E_F)	4.22	states/eV/f.u.


Entry Q
This record from the Alexandria database describes a crystal of SrAlHg relaxed with PBEsol. The functional is meta-GGA SCAN.

```
SrAlHg
1.0
-0.402 -0.063 3.930
-2.629 -3.955 -0.332
4.726 -0.316 0.478
Sr Hg Al
1 1 1
Direct
0.500 0.333 0.667
0.000 0.667 0.333
0.000 0.000 0.000
```

Calculated values
V	25.85	Å³ per atom
SG	No. 187
crystal system	hexagonal
DOS(E_F)	1.39	states/eV/f.u.


Stability, lowest: entry P


Entry P
This record from the Alexandria database describes a crystal of YAl2Hg relaxed with PBEsol. The functional is meta-GGA SCAN.

```
YAl2Hg
1.0
-1.522 2.349 -3.176
-0.579 -3.589 -2.378
-4.012 -0.421 1.612
Y Hg Al
1 1 2
Direct
0.500 0.000 0.000
0.500 0.500 0.500
0.000 0.000 0.500
0.000 0.500 0.000
```

Calculated values
V	19.98	Å³ per atom
SG	No. 123
crystal system	tetragonal
DOS(E_F)	1.51	states/eV/f.u.


Entry Q
This record from the Alexandria database describes a crystal of YAl2Hg relaxed with PBEsol. The functional is meta-GGA SCAN.

```
YAl2Hg
1.0
-3.149 -3.572 -1.121
1.465 -4.667 0.080
-1.625 -3.014 3.494
Y Hg Al
1 1 2
Direct
0.250 0.250 0.250
0.500 0.500 0.500
0.000 0.000 0.000
0.750 0.750 0.750
```

Calculated values
V	20.70	Å³ per atom
SG	No. 216
crystal system	cubic
DOS(E_F)	1.56	states/eV/f.u.


Entry R
This record from the Alexandria database describes a crystal of YAl2Hg relaxed with PBEsol. The functional is meta-GGA SCAN.

```
YAl2Hg
1.0
3.254 0.000 0.000
1.627 2.818 0.000
1.627 0.939 9.410
Y Hg Al
1 1 2
Direct
0.000 0.000 0.000
0.500 0.500 0.500
0.244 0.244 0.268
0.756 0.756 0.732
```

Calculated values
V	21.58	Å³ per atom
SG	No. 166
crystal system	trigonal
DOS(E_F)	3.06	states/eV/f.u.


Stability, lowest: entry R


Entry P
This record from the Alexandria database describes a crystal of YAlHg relaxed with PBEsol. The functional is meta-GGA SCAN.

```
YAlHg
1.0
-0.304 -3.823 -2.467
4.598 -3.501 0.646
-2.133 -4.494 3.012
Y Hg Al
2 2 2
Direct
0.474 0.526 0.526
0.525 0.975 0.975
0.834 0.941 0.391
0.834 0.391 0.941
0.164 0.127 0.545
0.164 0.545 0.127
```

Calculated values
V	21.66	Å³ per atom
SG	No. 44
crystal system	orthorhombic
DOS(E_F)	1.62	states/eV/f.u.


Entry Q
This record from the Alexandria database describes a crystal of YAlHg relaxed with PBEsol. The functional is meta-GGA SCAN.

```
YAlHg
1.0
-2.907 1.534 -1.420
-2.633 -2.152 3.066
1.716 4.136 0.958
Y Hg Al
1 1 1
Direct
0.500 0.667 0.333
0.000 0.333 0.667
0.000 0.000 0.000
```

Calculated values
V	21.67	Å³ per atom
SG	No. 187
crystal system	hexagonal
DOS(E_F)	1.48	states/eV/f.u.


Stability, lowest: entry Q


Entry P
This record from the Alexandria database describes a crystal of AlNiI2N relaxed with PBEsol. The functional is meta-GGA SCAN.

```
AlNiI2N
1.0
-0.194 -3.522 0.160
3.683 -0.385 -4.002
4.009 -0.053 3.695
I Ni Al N
2 1 1 1
Direct
0.000 0.000 0.500
0.000 0.500 0.000
0.000 0.000 0.000
0.500 0.500 0.500
0.500 0.000 0.000
```

Calculated values
V	21.00	Å³ per atom
SG	No. 123
crystal system	tetragonal
DOS(E_F)	3.63	states/eV/f.u.


Entry Q
This record from the Alexandria database describes a crystal of AlNiI2N relaxed with PBEsol. The functional is meta-GGA SCAN.

```
AlNiI2N
1.0
-1.033 -0.372 -3.301
4.554 -2.949 -1.093
-2.681 -4.646 1.363
I Ni Al N
2 1 1 1
Direct
0.000 0.000 0.500
0.000 0.500 0.000
0.500 0.500 0.500
0.000 0.000 0.000
0.500 0.000 0.000
```

Calculated values
V	21.31	Å³ per atom
SG	No. 123
crystal system	tetragonal
DOS(E_F)	3.62	states/eV/f.u.


Stability, lowest: entry P


Entry P
This record from the Alexandria database describes a crystal of AlSbI2O relaxed with PBEsol. The functional is meta-GGA SCAN.

```
AlSbI2O
1.0
-2.785 3.225 -3.312
-0.634 -4.097 -3.456
-4.494 -1.368 2.446
I Sb Al O
2 1 1 1
Direct
0.000 0.500 0.000
0.500 0.000 0.000
0.000 0.000 0.500
0.000 0.000 0.000
0.500 0.500 0.500
```

Calculated values
V	30.85	Å³ per atom
SG	No. 123
crystal system	tetragonal
DOS(E_F)	3.69	states/eV/f.u.


Entry Q
This record from the Alexandria database describes a crystal of AlSbI2O relaxed with PBEsol. The functional is meta-GGA SCAN.

```
AlSbI2O
1.0
3.982 0.000 0.000
0.000 6.061 0.000
0.000 0.000 6.061
I Sb Al O
2 1 1 1
Direct
0.000 0.000 0.500
0.000 0.500 0.000
0.500 0.000 0.000
0.500 0.500 0.500
0.000 0.000 0.000
```

Calculated values
V	29.25	Å³ per atom
SG	No. 123
crystal system	tetragonal
DOS(E_F)	2.39	states/eV/f.u.


Stability, lowest: entry P


Entry P
This record from the Alexandria database describes a crystal of YAl2I2 relaxed with PBEsol. The functional is meta-GGA SCAN.

```
YAl2I2
1.0
4.052 0.000 0.000
0.000 8.325 0.000
0.000 0.000 8.325
I Y Al
4 2 4
Direct
0.000 0.352 0.852
0.000 0.852 0.648
0.000 0.648 0.148
0.000 0.148 0.352
0.000 0.000 0.000
0.000 0.500 0.500
0.500 0.178 0.678
0.500 0.678 0.822
0.500 0.822 0.322
0.500 0.322 0.178
```

Calculated values
V	28.08	Å³ per atom
SG	No. 127
crystal system	tetragonal
DOS(E_F)	2.97	states/eV/f.u.


Entry Q
This record from the Alexandria database describes a crystal of YAl2I2 relaxed with PBEsol. The functional is meta-GGA SCAN.

```
YAl2I2
1.0
-2.322 1.876 -2.209
-0.677 -3.104 -1.923
-6.984 -1.794 8.940
I Y Al
2 1 2
Direct
0.419 0.419 0.837
0.581 0.581 0.163
0.000 0.000 0.000
0.250 0.750 0.500
0.750 0.250 0.500
```

Calculated values
V	30.85	Å³ per atom
SG	No. 139
crystal system	tetragonal
DOS(E_F)	2.62	states/eV/f.u.


Stability, lowest: entry P